{
  "formula": "LiLa2TcNi",
  "functional": "PBE",
  "state": "relaxed",
  "cell": [[5.487, 0.000, 0.000], [0.000, 5.487, 0.000], [0.000, 0.000, 4.608]],
  "species": ["Li", "La", "La", "Tc", "Ni"],
  "fractional_positions": [[0.000, 0.000, 0.000], [0.000, 0.500, 0.500], [0.500, 0.000, 0.500], [0.500, 0.500, 0.500], [0.500, 0.500, 0.000]],
  "dft_energy_ev_per_atom": -5.320,
  "ef_ev_per_atom": 0.263
}